[1]
The following is a GGA-PBE calculation of crystalline LaCeCdRh at its relaxed geometry, from Alexandria.

Lattice parameters (Å, degrees): 5.2377 5.2377 5.2377 60.00 60.00 60.00
Last column: nearest neighbours and their distance in Å.
Fractional positions:
Cd1 0.0000 0.0000 0.0000  4 La 3.21, 4 Ce 3.21
Rh1 0.5000 0.5000 0.5000  4 La 3.21, 4 Ce 3.21
Ce1 0.2500 0.2500 0.2500  4 Cd 3.21, 4 Rh 3.21
La1 0.7500 0.7500 0.7500  4 Cd 3.21, 4 Rh 3.21

Values from the calculation:
For the calculated volume, the calculation gives 25.401 Å³/atom. For the energy of formation from the pure elements, the calculation gives -343 meV/atom. As for the theoretical density: 8079 kg/m³. For the calculated total energy, the calculation gives -20.499 eV per formula unit.

[2]
The following is a GGA-PBE calculation of crystalline Mg3PN at its relaxed geometry, from Alexandria.

Lattice parameters (Å, degrees): 7.0551 3.8553 8.5697 103.01 118.52 105.88
Last column: nearest neighbours and their distance in Å.
Fractional positions:
P1 0.4607 0.1549 0.1965  6 Mg 2.51-2.74
P2 0.6697 0.6022 0.8816  6 Mg 2.51-2.74
Mg1 0.2157 0.2051 0.5412  3 N 2.13-2.21
Mg2 0.3268 0.6418 0.3042  1 N 2.02
Mg3 0.3321 0.4620 0.9395  1 N 2.06
Mg4 0.7986 0.2951 0.1387  1 N 2.06
Mg5 0.8048 0.1165 0.7749  1 N 2.02
Mg6 0.9148 0.5521 0.5370  3 N 2.13-2.21
N1 0.0062 0.1635 0.6680  5 Mg 2.02-2.21
N2 0.1244 0.5938 0.4102  5 Mg 2.02-2.21

Values from the calculation:
For the calculated volume, the calculation gives 17.870 Å³/atom. The offset from the most stable computed form comes out at 0.57 eV/f.u. As for the theoretical density: 2191 kg/m³. For the calculated total energy, the calculation gives -21.642 eV per formula unit.

[3]
The following is a GGA-PBE calculation of crystalline La6Tb12Dy at its relaxed geometry, from Alexandria.

Lattice parameters (Å, degrees): 8.8035 8.8035 8.8035 78.84 78.84 78.84
Last column: nearest neighbours and their distance in Å.
Fractional positions:
La1 0.7665 0.7666 0.1623  1 Dy 3.14, 3 Tb 3.39-3.42
La2 0.8377 0.2335 0.2334  1 Dy 3.14, 3 Tb 3.39-3.42
La3 0.2334 0.8377 0.2335  1 Dy 3.14, 3 Tb 3.39-3.42
La4 0.2335 0.2334 0.8377  1 Dy 3.14, 3 Tb 3.39-3.42
La5 0.1623 0.7665 0.7666  1 Dy 3.14, 3 Tb 3.39-3.42
La6 0.7666 0.1623 0.7665  1 Dy 3.14, 3 Tb 3.39-3.42
Tb1 0.8047 0.4870 0.4870  3 La 3.39-3.42, 5 Tb 3.47-3.55
Tb2 0.4870 0.8047 0.4870  3 La 3.39-3.42, 5 Tb 3.47-3.55
Tb3 0.4870 0.4870 0.8047  3 La 3.39-3.42, 5 Tb 3.47-3.55
Tb4 0.1953 0.5130 0.5130  3 La 3.39-3.42, 5 Tb 3.47-3.55
Tb5 0.5130 0.1953 0.5130  3 La 3.39-3.42, 5 Tb 3.47-3.55
Tb6 0.5130 0.5130 0.1953  3 La 3.39-3.42, 5 Tb 3.47-3.55
Tb7 0.1392 0.1392 0.4883  5 Tb 3.47-3.82, 5 La 3.62-3.69
Tb8 0.8608 0.5117 0.8608  5 Tb 3.47-3.82, 5 La 3.62-3.69
Tb9 0.5117 0.8608 0.8608  5 Tb 3.47-3.82, 5 La 3.62-3.69
Tb10 0.8608 0.8608 0.5117  5 Tb 3.47-3.82, 5 La 3.62-3.69
Tb11 0.1392 0.4883 0.1392  5 Tb 3.47-3.82, 5 La 3.62-3.69
Tb12 0.4883 0.1392 0.1392  5 Tb 3.47-3.82, 5 La 3.62-3.69
Dy1 0.0000 0.0000 0.0000  6 La 3.14

Values from the calculation:
For the calculated volume, the calculation gives 34.106 Å³/atom. For the energy of formation from the pure elements, the calculation gives 129 meV/atom. The offset from the most stable computed form comes out at 0.00 eV/f.u. As for the theoretical density: 7439 kg/m³. For the calculated total energy, the calculation gives -87.280 eV per formula unit.

[4]
The following is a GGA-PBE calculation of crystalline InHO2 at its relaxed geometry, from Alexandria.

Lattice parameters (Å, degrees): 3.3339 4.6518 5.3657 90.00 90.00 90.00
Last column: nearest neighbours and their distance in Å.
Fractional positions:
H1 0.0000 0.8024 0.4804  1 O 1.04
H2 0.5000 0.1976 0.9804  1 O 1.04
O1 0.0000 0.5251 0.6359  1 H 1.54
O2 0.5000 0.4749 0.1359  1 H 1.54
O3 0.0000 0.9826 0.3652  1 H 1.04
O4 0.5000 0.0174 0.8652  1 H 1.04
In1 0.0000 0.7276 0.0004  6 O 2.17-2.29
In2 0.5000 0.2724 0.5004  6 O 2.17-2.29

Values from the calculation:
For the calculated volume, the calculation gives 10.402 Å³/atom. As for the theoretical density: 5900 kg/m³. For the calculated total energy, the calculation gives -21.595 eV per formula unit.

[5]
The following is a GGA-PBE calculation of crystalline LaCuRe3 at its relaxed geometry, from Alexandria.

Lattice parameters (Å, degrees): 4.6314 4.6314 4.6314 90.00 90.00 90.00
Last column: nearest neighbours and their distance in Å.
Fractional positions:
Re1 0.0000 0.5000 0.0000  2 Cu 2.32
Re2 0.0000 0.0000 0.5000  2 Cu 2.32
Re3 0.5000 0.0000 0.0000  2 Cu 2.32
Cu1 0.0000 0.0000 0.0000  6 Re 2.32
La1 0.5000 0.5000 0.5000  12 Re 3.27

Values from the calculation:
For the calculated volume, the calculation gives 19.869 Å³/atom. For the energy of formation from the pure elements, the calculation gives 1532 meV/atom. The offset from the most stable computed form comes out at 0.00 eV/f.u. As for the theoretical density: 12721 kg/m³. For the calculated total energy, the calculation gives -38.706 eV per formula unit.

[6]
The following is a GGA-PBE calculation of crystalline BeNbSbPIr at its relaxed geometry, from Alexandria.

Lattice parameters (Å, degrees): 5.1216 3.1736 11.4805 90.00 99.46 90.00
Last column: nearest neighbours and their distance in Å.
Fractional positions:
Sb1 0.4469 0.0000 0.2924  1 Be 2.45
Sb2 0.4469 0.5000 0.7924  1 Be 2.45
Nb1 0.3939 0.0000 0.0059  2 P 2.48, 1 Be 2.54, 2 Ir 2.76
Nb2 0.3939 0.5000 0.5059  2 P 2.48, 1 Be 2.54, 2 Ir 2.76
Ir1 0.7324 0.0000 0.6596  2 Be 2.30, 1 P 2.42
Ir2 0.7324 0.5000 0.1596  2 Be 2.30, 1 P 2.42
Be1 0.0483 0.0000 0.1410  2 P 2.15, 2 Ir 2.30
Be2 0.0483 0.5000 0.6410  2 P 2.15, 2 Ir 2.30
P1 0.0241 0.0000 0.5133  2 Be 2.15
P2 0.0241 0.5000 0.0133  2 Be 2.15

Values from the calculation:
For the calculated volume, the calculation gives 18.407 Å³/atom. The offset from the most stable computed form comes out at 1.51 eV/f.u. As for the theoretical density: 8063 kg/m³. For the calculated total energy, the calculation gives -32.645 eV per formula unit.

[7]
The following is a GGA-PBE calculation of crystalline Cs2KP2 at its relaxed geometry, from Alexandria.

Lattice parameters (Å, degrees): 8.3323 8.3323 5.5945 90.00 90.00 90.00
Last column: nearest neighbours and their distance in Å.
Fractional positions:
Cs1 0.1712 0.6712 0.5000  6 P 3.61-3.95, 1 Cs 4.03
Cs2 0.6712 0.8288 0.5000  6 P 3.61-3.95, 1 Cs 4.03
Cs3 0.8288 0.3288 0.5000  6 P 3.61-3.95, 1 Cs 4.03
Cs4 0.3288 0.1712 0.5000  6 P 3.61-3.95, 1 Cs 4.03
P1 0.4082 0.9082 0.0000  1 P 2.16
P2 0.9082 0.5918 0.0000  1 P 2.16
P3 0.5918 0.0918 0.0000  1 P 2.16
P4 0.0918 0.4082 0.0000  1 P 2.16
K1 0.0000 0.0000 0.0000  4 P 3.49
K2 0.5000 0.5000 0.0000  4 P 3.49

Values from the calculation:
For the calculated volume, the calculation gives 38.841 Å³/atom. For the energy of formation from the pure elements, the calculation gives -230 meV/atom. The offset from the most stable computed form comes out at 0.29 eV/f.u. As for the theoretical density: 3137 kg/m³. For the calculated total energy, the calculation gives -14.775 eV per formula unit.

[8]
The following is a GGA-PBE calculation of crystalline ZrZn2Ir at its relaxed geometry, from Alexandria.

Lattice parameters (Å, degrees): 4.0593 2.9727 5.6027 74.32 90.00 90.00
Last column: nearest neighbours and their distance in Å.
Fractional positions:
Ir1 0.5000 0.8055 0.7726  7 Zn 2.78-2.91, 4 Zr 2.91-2.95, 2 Ir 2.97
Zn1 0.0000 0.1955 0.9959  2 Zn 2.41
Zn2 0.5000 0.0658 0.2358  2 Zn 2.41
Zr1 0.0000 0.4333 0.4957  5 Zn 2.70-2.88, 4 Ir 2.91-2.95, 2 Zr 2.97

Values from the calculation:
For the calculated volume, the calculation gives 16.273 Å³/atom. For the energy of formation from the pure elements, the calculation gives -306 meV/atom. As for the theoretical density: 10568 kg/m³. For the calculated total energy, the calculation gives -21.180 eV per formula unit.